# PHRh

A relaxed structure of PHRh (PBE, the Alexandria database).

The space group is I4mm (No. 107) and the conventional cell measures 3.139, 3.139 and 6.990 Å, with angles of 90.00, 90.00 and 90.00 degrees. The distinct sites, in fractional coordinates, are P at (0.000, 0.000, 0.000), H at (0.000, 0.000, 0.413) and Rh at (0.000, 0.000, 0.640).

For the calculated volume, the calculation gives 11.5 Å³/atom. The calculation puts the energy relative to the lowest polymorph listed for this composition at 0.33 eV/f.u.

# PHRhS2

A relaxed structure of PHRhS2 (PBE, the Alexandria database).

The space group is P4/mmm (No. 123) and the conventional cell measures 4.818, 4.818 and 4.429 Å, with angles of 90.00, 90.00 and 90.00 degrees. The distinct sites, in fractional coordinates, are P at (0.000, 0.000, 0.000), H at (0.500, 0.500, 0.000), Rh at (0.000, 0.000, 0.500) and S at (0.000, 0.500, 0.500).

For the calculated volume, the calculation gives 20.6 Å³/atom. The calculation puts the energy relative to the lowest polymorph listed for this composition at 1.70 eV/f.u.

# P2HRhS

A relaxed structure of P2HRhS (PBE, the Alexandria database).

The space group is P4/mmm (No. 123) and the conventional cell measures 3.664, 3.664 and 4.632 Å, with angles of 90.00, 90.00 and 90.00 degrees. The distinct sites, in fractional coordinates, are P at (0.000, 0.500, 0.000), H at (0.000, 0.000, 0.000), Rh at (0.500, 0.500, 0.500) and S at (0.000, 0.000, 0.500).

For the calculated volume, the calculation gives 12.4 Å³/atom. The calculation puts the energy relative to the lowest polymorph listed for this composition at 0.18 eV/f.u.

# P2HRhS

A relaxed structure of P2HRhS (PBE, the Alexandria database).

The space group is P4/mmm (No. 123) and the conventional cell measures 4.481, 4.481 and 5.016 Å, with angles of 90.00, 90.00 and 90.00 degrees. The distinct sites, in fractional coordinates, are P at (0.000, 0.500, 0.000), H at (0.000, 0.000, 0.500), Rh at (0.500, 0.500, 0.000) and S at (0.500, 0.500, 0.500).

For the calculated volume, the calculation gives 20.1 Å³/atom. The calculation puts the energy relative to the lowest polymorph listed for this composition at 2.26 eV/f.u.

# PHRhS2

A relaxed structure of PHRhS2 (PBE, the Alexandria database).

The space group is P4/mmm (No. 123) and the conventional cell measures 4.344, 4.344 and 3.287 Å, with angles of 90.00, 90.00 and 90.00 degrees. The distinct sites, in fractional coordinates, are P at (0.000, 0.000, 0.000), H at (0.000, 0.000, 0.500), Rh at (0.500, 0.500, 0.000) and S at (0.000, 0.500, 0.500).

For the calculated volume, the calculation gives 12.4 Å³/atom. The calculation puts the energy relative to the lowest polymorph listed for this composition at 0.00 eV/f.u.

# P2HRhS

A relaxed structure of P2HRhS (PBE, the Alexandria database).

The space group is P4/mmm (No. 123) and the conventional cell measures 4.491, 4.491 and 3.215 Å, with angles of 90.00, 90.00 and 90.00 degrees. The distinct sites, in fractional coordinates, are P at (0.000, 0.500, 0.000), H at (0.000, 0.000, 0.000), Rh at (0.000, 0.000, 0.500) and S at (0.500, 0.500, 0.500).

For the calculated volume, the calculation gives 13.0 Å³/atom. The calculation puts the energy relative to the lowest polymorph listed for this composition at 0.00 eV/f.u.

# P2HRhSe

A relaxed structure of P2HRhSe (PBE, the Alexandria database).

The space group is P4/mmm (No. 123) and the conventional cell measures 3.769, 3.769 and 4.700 Å, with angles of 90.00, 90.00 and 90.00 degrees. The distinct sites, in fractional coordinates, are P at (0.000, 0.500, 0.000), H at (0.000, 0.000, 0.000), Rh at (0.500, 0.500, 0.500) and Se at (0.000, 0.000, 0.500).

For the calculated volume, the calculation gives 13.4 Å³/atom.

# SmPH2Rh

A relaxed structure of SmPH2Rh (PBE, the Alexandria database).

The space group is Cmcm (No. 63) and the conventional cell measures 3.717, 10.100 and 6.661 Å, with angles of 90.00, 90.00 and 90.00 degrees. The distinct sites, in fractional coordinates, are Sm at (0.000, 0.222, 0.250), P at (0.000, 0.056, 0.750), H at (0.000, 0.333, 0.555) and Rh at (0.000, 0.500, 0.000).

For the calculated volume, the calculation gives 12.5 Å³/atom.

For reference, E_tot by record: -5.447, -3.837, -4.466, -4.050, -4.177, -4.503, -4.336, -5.574 eV/atom.